Entry 1:
The following is a DFT calculation (PBE) of an optimized crystal structure of Na3Ga9Sn2.

extended XYZ file:
```
14
Lattice="-1.1386 1.3626 -4.0175 -0.7895 -7.3931 -4.6849 -8.6243 -1.6116 -0.5037" Properties=species:S:1:pos:R:3 pbc="T T T"
Sn -3.6892 -4.9921 -5.4500
Sn -6.8632 -2.6499 -3.7561
Ga -5.1915 -1.4834 -1.4330
Ga -9.0038 -3.4705 -5.8289
Ga -2.8439 -0.2975 -1.6961
Ga -7.7085 -7.3446 -7.5100
Ga -4.7069 -4.5023 -2.5943
Ga -1.5485 -4.1716 -3.3772
Ga -5.3609 -6.1587 -7.7731
Ga -9.5880 -5.9576 -6.5069
Ga -0.9643 -1.6845 -2.6992
Na 0.0000 0.0000 0.0000
Na -3.6788 -1.8198 -4.3770
Na -6.8735 -5.8222 -4.8291
```

Calculated values
VASP energy = -0.2131 Ry/atom
ΔE_f = -0.100 eV/atom
Fermi-level density of states = 3.11 states/eV per cell

=====

Entry 2:
The following is a DFT calculation (PBE) of an optimized crystal structure of GeSbTe2Au.

extended XYZ file:
```
5
Lattice="-5.1950 -1.7995 -0.2036 1.6921 -4.6028 -2.4938 0.6170 -2.3113 4.6846" Properties=species:S:1:pos:R:3 pbc="T T T"
Ge -1.4430 -4.3568 0.9935
Au 0.0000 0.0000 0.0000
Te -2.5975 -0.8997 -0.1018
Te 0.8460 -2.3014 -1.2469
Sb 0.3085 -1.1557 2.3423
```

Calculated values
excess energy over the best structure of this formula in the dataset = 0 meV/atom
VASP energy = -0.2223 Ry/atom
Fermi-level density of states = 4.95 states/eV per cell
E_form (uncorrected) = 3.2 eV per formula unit

=====

Entry 3:
The following is a DFT calculation (PBE) of an optimized crystal structure of Cr2CuP.

extended XYZ file:
```
4
Lattice="-0.3740 -1.4924 -3.2210 -2.0606 -1.6970 1.0256 -4.4148 2.5447 -0.6664" Properties=species:S:1:pos:R:3 pbc="T T T"
P -4.7590 0.3087 -1.5684
Cu -3.5988 0.0818 0.3800
Cr -6.2229 0.8290 0.3385
Cr -1.9819 -0.5928 -1.4732
```

Calculated values
VASP energy = -0.5257 Ry/atom
ΔE_f = 0.035 eV/atom
Fermi-level density of states = 2.87 states/eV per cell

=====

Entry 4:
The following is a DFT calculation (PBE) of an optimized crystal structure of BaRe2Br.

extended XYZ file:
```
4
Lattice="3.1643 0.0000 0.0000 0.0000 3.1643 0.0000 0.0000 0.0000 8.4358" Properties=species:S:1:pos:R:3 pbc="T T T"
Ba 1.5822 1.5822 2.1089
Re 0.0000 0.0000 7.8217
Re 0.0000 0.0000 4.8320
Br 1.5822 1.5822 6.3268
```

Calculated values
excess energy over the best structure of this formula in the dataset = 1461 meV/atom
VASP energy = -0.3962 Ry/atom
Fermi-level density of states = 3.94 states/eV per cell
E_form (uncorrected) = 6.9 eV per formula unit

=====

Entry 5:
The following is a DFT calculation (PBE) of an optimized crystal structure of Mg2SiSn.

extended XYZ file:
```
4
Lattice="3.1988 0.0000 0.0000 0.0000 3.1988 0.0000 0.0000 0.0000 8.2051" Properties=species:S:1:pos:R:3 pbc="T T T"
Mg 0.0000 0.0000 6.4424
Mg 0.0000 0.0000 1.7628
Sn 1.5994 1.5994 4.1026
Si 1.5994 1.5994 0.0000
```

Calculated values
excess energy over the best structure of this formula in the dataset = 0 meV/atom
VASP energy = -0.2310 Ry/atom
Fermi-level density of states = 2.53 states/eV per cell
E_form (uncorrected) = 0.0 eV per formula unit

=====

Entry 6:
The following is a DFT calculation (PBE) of an optimized crystal structure of CeThSi.

extended XYZ file:
```
6
Lattice="-0.3446 -3.7708 -2.3814 4.0364 0.2087 -0.9146 3.7476 -4.2467 6.1819" Properties=species:S:1:pos:R:3 pbc="T T T"
Th 3.2385 -6.4441 3.4335
Th 4.2009 -1.3646 -0.5476
Si 5.3023 -4.1356 3.6806
Si 2.1371 -3.6731 -0.7947
Ce 2.7758 -2.9612 2.1866
Ce 4.6636 -4.8475 0.6993
```

Calculated values
excess energy over the best structure of this formula in the dataset = 183 meV/atom
VASP energy = -0.4860 Ry/atom
Fermi-level density of states = 12.19 states/eV per cell
E_form (uncorrected) = -1.1 eV per formula unit